Record 1
Material: LiAlGe
Method: DFT, PBE-GGA
State: relaxed

Cell: 4.2506 4.2506 4.2506 Å, 60.00 60.00 60.00°
Fractional coordinates of all 3 atoms:
Ge: 0.5000 0.5000 0.5000
Al: 0.7500 0.7500 0.7500
Li: 0.2500 0.2500 0.2500

Values from the calculation:
symmetry: F-43m
DFT total energy: -3.69 eV/atom

---

Record 2
Material: RbCaAg10
Method: DFT, PBE-GGA
State: relaxed

Cell: 4.6735 5.7443 10.0211 Å, 90.00 90.00 90.00°
Fractional coordinates of all 12 atoms:
Rb: 0.0000 0.0000 0.0000
Ca: 0.0000 0.5000 0.5000
Ag: 0.0000 0.0000 0.3424
Ag: 0.0000 0.5000 0.8192
Ag: 0.0000 0.5000 0.1808
Ag: 0.0000 0.0000 0.6576
Ag: 0.5000 0.0000 0.5000
Ag: 0.5000 0.5000 0.0000
Ag: 0.5000 0.2560 0.2601
Ag: 0.5000 0.7440 0.7399
Ag: 0.5000 0.7440 0.2601
Ag: 0.5000 0.2560 0.7399

Values from the calculation:
symmetry: Pmmm
DFT total energy: -2.68 eV/atom

---

Record 3
Material: Ba2BeCrH
Method: DFT, PBE-GGA
State: relaxed

Cell: 6.0565 4.3272 6.0565 Å, 90.00 90.00 90.00°
Fractional coordinates of all 5 atoms:
Cr: 0.0000 0.0000 0.0000
Ba: 0.0000 0.0000 0.5000
Ba: 0.5000 0.0000 0.0000
H: 0.5000 0.5000 0.5000
Be: 0.0000 0.5000 0.0000

Values from the calculation:
symmetry: P4/mmm
DFT total energy: -3.37 eV/atom

---

Record 4
Material: In3Hg4H4
Method: DFT, PBE-GGA
State: relaxed

Cell: 3.1928 8.0701 9.8284 Å, 114.24 99.35 90.00°
Fractional coordinates of all 11 atoms:
In: 0.8194 0.8194 0.6388
In: 0.1806 0.1806 0.3612
In: 0.0000 0.5000 0.0000
Hg: 0.8329 0.3329 0.6657
Hg: 0.1671 0.6671 0.3343
Hg: 0.5000 0.8215 0.0000
Hg: 0.5000 0.1785 0.0000
H: 0.6592 0.3135 0.3184
H: 0.3408 0.9951 0.6816
H: 0.3408 0.6865 0.6816
H: 0.6592 0.0049 0.3184

Values from the calculation:
symmetry: Immm
DFT total energy: -1.80 eV/atom

---

Record 5
Material: P2IrOsO
Method: DFT, PBE-GGA
State: relaxed

Cell: 4.7114 4.7114 3.5698 Å, 90.00 90.00 90.00°
Fractional coordinates of all 5 atoms:
P: 0.0000 0.5000 0.0000
P: 0.5000 0.0000 0.0000
Ir: 0.5000 0.5000 0.5000
Os: 0.0000 0.0000 0.0000
O: 0.0000 0.0000 0.5000

Values from the calculation:
E above lowest polymorph: 0.0 meV/atom
formation energy without anion corrections: 486 meV/atom
symmetry: P4/mmm

---

Record 6
Material: TlRu2Se2
Method: DFT, PBE-GGA
State: relaxed

Cell: 4.8451 4.8451 5.4474 Å, 63.59 63.59 90.00°
Fractional coordinates of all 5 atoms:
Ru: 0.3526 0.3526 0.2949
Ru: 0.6474 0.6474 0.7051
Tl: 0.0000 0.0000 0.0000
Se: 0.7500 0.2500 0.5000
Se: 0.2500 0.7500 0.5000

Values from the calculation:
E above lowest polymorph: 430.9 meV/atom
formation energy without anion corrections: 236 meV/atom
symmetry: I4/mmm

---

Record 7
Material: CrHgPd3
Method: DFT, PBE-GGA
State: relaxed

Cell: 4.6752 4.6752 4.6752 Å, 90.00 90.00 90.00°
Fractional coordinates of all 5 atoms:
Cr: 0.0000 0.0000 0.0000
Hg: 0.5000 0.5000 0.5000
Pd: 0.0000 0.5000 0.0000
Pd: 0.0000 0.0000 0.5000
Pd: 0.5000 0.0000 0.0000

Values from the calculation:
E above lowest polymorph: 0.0 meV/atom
symmetry: Pm-3m

---

Record 8
Material: Tl7TeSe6
Method: DFT, PBE-GGA
State: relaxed

Cell: 7.8636 12.2384 12.2384 Å, 75.42 71.26 71.26°
Fractional coordinates of all 28 atoms:
Tl: 0.7294 0.0448 0.9552
Tl: 0.2706 0.9552 0.0448
Tl: 0.7706 0.5448 0.4552
Tl: 0.2294 0.4552 0.5448
Tl: 0.5130 0.6180 0.1571
Tl: 0.7120 0.1571 0.6180
Tl: 0.9870 0.3429 0.8820
Tl: 0.7880 0.8820 0.3429
Tl: 0.4870 0.3820 0.8429
Tl: 0.2880 0.8429 0.3820
Tl: 0.0130 0.6571 0.1180
Tl: 0.2120 0.1180 0.6571
Tl: 0.2500 0.2500 0.2500
Tl: 0.7500 0.7500 0.7500
Te: 0.7500 0.2500 0.2500
Te: 0.2500 0.7500 0.7500
Se: 0.6195 0.2911 0.0611
Se: 0.0283 0.0611 0.2911
Se: 0.8805 0.4389 0.2089
Se: 0.4717 0.2089 0.4389
Se: 0.3805 0.7089 0.9389
Se: 0.9717 0.9389 0.7089
Se: 0.1195 0.5611 0.7911
Se: 0.5283 0.7911 0.5611
Se: 0.1238 0.6561 0.3439
Se: 0.8762 0.3439 0.6561
Se: 0.3762 0.1561 0.8439
Se: 0.6238 0.8439 0.1561

Values from the calculation:
formation energy without anion corrections: -222 meV/atom
symmetry: Ibam

---

Record 9
Material: Be2CdTeO6
Method: DFT, PBE-GGA
State: relaxed

Cell: 5.7973 6.5652 6.5652 Å, 84.40 74.15 74.15°
Fractional coordinates of all 20 atoms:
Be: 0.3539 0.7726 0.6267
Be: 0.1461 0.3733 0.2274
Be: 0.6461 0.2274 0.3733
Be: 0.8539 0.6267 0.7726
Cd: 0.2500 0.9043 0.0957
Cd: 0.7500 0.0957 0.9043
Te: 0.2500 0.2865 0.7135
Te: 0.7500 0.7135 0.2865
O: 0.2054 0.9902 0.7567
O: 0.2946 0.2433 0.0098
O: 0.7946 0.0098 0.2433
O: 0.7054 0.7567 0.9902
O: 0.3986 0.7973 0.3739
O: 0.1014 0.6261 0.2027
O: 0.6014 0.2027 0.6261
O: 0.8986 0.3739 0.7973
O: 0.1831 0.6005 0.7162
O: 0.3169 0.2838 0.3995
O: 0.8169 0.3995 0.2838
O: 0.6831 0.7162 0.6005

Values from the calculation:
formation energy without anion corrections: -1650 meV/atom
symmetry: C2/c

---

Record 10
Material: MgZrInB2
Method: DFT, PBE-GGA
State: relaxed

Cell: 4.4119 5.4713 4.4119 Å, 90.00 90.00 90.00°
Fractional coordinates of all 5 atoms:
Mg: 0.5000 0.5000 0.5000
B: 0.0000 0.0000 0.5000
B: 0.5000 0.0000 0.0000
Zr: 0.0000 0.5000 0.0000
In: 0.0000 0.0000 0.0000

Values from the calculation:
symmetry: P4/mmm
DFT total energy: -3.56 eV/atom

---

Record 11
Material: Th2InPd
Method: DFT, PBE-GGA
State: relaxed

Cell: 4.4535 4.8164 4.8164 Å, 90.00 90.00 90.00°
Fractional coordinates of all 4 atoms:
Pd: 0.5000 0.5000 0.5000
Th: 0.0000 0.0000 0.5000
Th: 0.0000 0.5000 0.0000
In: 0.5000 0.0000 0.0000

Values from the calculation:
E above lowest polymorph: 80.1 meV/atom
symmetry: P4/mmm

---

Record 12
Material: Ca2PrAg
Method: DFT, PBE-GGA
State: relaxed

Cell: 3.8876 6.8448 10.4058 Å, 90.00 90.00 106.50°
Fractional coordinates of all 8 atoms:
Ca: 0.3636 0.7268 0.5593
Ca: 0.6364 0.2732 0.4407
Ca: 0.3636 0.7268 0.9407
Ca: 0.6364 0.2732 0.0593
Pr: 0.9356 0.8709 0.2500
Pr: 0.0644 0.1291 0.7500
Ag: 0.7502 0.5003 0.7500
Ag: 0.2498 0.4997 0.2500

Values from the calculation:
E above lowest polymorph: 0.0 meV/atom
symmetry: Cmcm